An optimized crystal structure of BaIn6Ag3. Source: Alexandria via LeMat-Bulk, functional GGA-PBE.

Cell lengths 8.3412, 4.8783, 13.0187 Å; angles 90.00, 101.05, 90.00 degrees
Last column: nearest neighbours and their distance in Å.
Atoms (fractional coordinates):
Ba (0.0330, 0.2500, 0.2391)  3 Ag 3.52-3.74, 8 In 3.67-3.77
Ba (0.9670, 0.7500, 0.7609)  3 Ag 3.52-3.74, 8 In 3.67-3.77
In (0.1243, 0.2500, 0.5873)  3 Ag 2.82-2.98, 1 In 3.09
In (0.2581, 0.7500, 0.0604)  6 Ag 2.87-3.04, 1 In 2.98
In (0.3145, 0.2500, 0.8374)  4 Ag 2.85-3.17, 2 In 3.10
In (0.3735, 0.7500, 0.2920)  5 In 2.98-3.20, 1 Ag 2.99
In (0.3824, 0.7500, 0.7053)  2 Ag 2.98-3.04, 5 In 3.04-3.17
In (0.3923, 0.2500, 0.4531)  3 Ag 2.90-3.20, 6 In 3.04-3.20
In (0.6077, 0.7500, 0.5469)  3 Ag 2.90-3.20, 6 In 3.04-3.20
In (0.6176, 0.2500, 0.2947)  2 Ag 2.98-3.04, 5 In 3.04-3.17
In (0.6265, 0.2500, 0.7080)  5 In 2.98-3.20, 1 Ag 2.99
In (0.6855, 0.7500, 0.1626)  4 Ag 2.85-3.17, 2 In 3.10
In (0.7419, 0.2500, 0.9396)  6 Ag 2.87-3.04, 1 In 2.98
In (0.8757, 0.7500, 0.4127)  3 Ag 2.82-2.98, 1 In 3.09
Ag (0.0930, 0.2500, 0.9787)  4 In 2.85-2.90, 3 Ag 3.00-3.11
Ag (0.2181, 0.7500, 0.4808)  7 In 2.82-2.99
Ag (0.4675, 0.2500, 0.0630)  7 In 2.97-3.17, 3 Ag 3.05-3.11
Ag (0.5325, 0.7500, 0.9370)  7 In 2.97-3.17, 3 Ag 3.05-3.11
Ag (0.7819, 0.2500, 0.5192)  7 In 2.82-2.99
Ag (0.9070, 0.7500, 0.0213)  4 In 2.85-2.90, 3 Ag 3.00-3.11

Summary:
Space group: P2_1/m, No. 11
E, eV/atom: -2.84



An optimized crystal structure of Ba3InAg3. Source: Alexandria via LeMat-Bulk, functional GGA-PBE.

Cell lengths 6.5508, 6.5508, 16.0643 Å; angles 90.00, 90.00, 136.51 degrees
Last column: nearest neighbours and their distance in Å.
Atoms (fractional coordinates):
Ba (0.0017, 0.9983, 0.7500)  7 Ag 3.45-3.63
Ba (0.2857, 0.7143, 0.6003)  6 Ag 3.51-3.56, 3 In 3.83-3.91
Ba (0.2857, 0.7143, 0.8997)  6 Ag 3.51-3.56, 3 In 3.83-3.91
Ba (0.7143, 0.2857, 0.1003)  6 Ag 3.51-3.56, 3 In 3.83-3.91
Ba (0.7143, 0.2857, 0.3997)  6 Ag 3.51-3.56, 3 In 3.83-3.91
Ba (0.9983, 0.0017, 0.2500)  7 Ag 3.45-3.63
In (0.0000, 0.0000, 0.0000)  4 Ag 2.99
In (0.0000, 0.0000, 0.5000)  4 Ag 2.99
Ag (0.2965, 0.7035, 0.2500)  2 Ag 2.96
Ag (0.4264, 0.5736, 0.0939)  1 Ag 2.96, 2 In 2.99
Ag (0.4264, 0.5736, 0.4061)  1 Ag 2.96, 2 In 2.99
Ag (0.5736, 0.4264, 0.5939)  1 Ag 2.96, 2 In 2.99
Ag (0.5736, 0.4264, 0.9061)  1 Ag 2.96, 2 In 2.99
Ag (0.7035, 0.2965, 0.7500)  2 Ag 2.96

Summary:
Space group: Cmcm, No. 63
E, eV/atom: -2.74
ΔE to the lowest computed polymorph, meV per atom: 0



An optimized crystal structure of BaInAg2. Source: Alexandria via LeMat-Bulk, functional GGA-PBE.

Cell lengths 6.0003, 6.0003, 6.0003 Å; angles 139.82, 123.09, 71.94 degrees
Last column: nearest neighbours and their distance in Å.
Atoms (fractional coordinates):
Ba (0.0000, 0.0000, 0.0000)  8 Ag 3.48-3.53, 4 In 3.50-3.51
In (0.7089, 0.2089, 0.5000)  2 Ag 2.96
Ag (0.2883, 0.7883, 0.5000)  2 Ag 2.85
Ag (0.4909, 0.4909, 0.0000)  2 Ag 2.85, 2 In 2.96

Summary:
Space group: Imm2, No. 44
E, eV/atom: -2.68



An optimized crystal structure of Ba2In3Ag5. Source: Alexandria via LeMat-Bulk, functional GGA-PBE.

Cell lengths 9.6729, 9.6729, 9.6729 Å; angles 106.93, 87.09, 139.43 degrees
Last column: nearest neighbours and their distance in Å.
Atoms (fractional coordinates):
Ba (0.1302, 0.2297, 0.3599)  10 Ag 3.57-3.84, 6 In 3.69-3.98
Ba (0.3698, 0.7297, 0.0995)  10 Ag 3.57-3.84, 6 In 3.69-3.98
Ba (0.6302, 0.2703, 0.9005)  10 Ag 3.57-3.84, 6 In 3.69-3.98
Ba (0.8698, 0.7703, 0.6401)  10 Ag 3.57-3.84, 6 In 3.69-3.98
In (0.1437, 0.9030, 0.0467)  5 Ag 2.83-2.86
In (0.2500, 0.7500, 0.5000)  6 Ag 2.92-2.96
In (0.3563, 0.4030, 0.7593)  5 Ag 2.83-2.86
In (0.6437, 0.5970, 0.2407)  5 Ag 2.83-2.86
In (0.7500, 0.2500, 0.5000)  6 Ag 2.92-2.96
In (0.8563, 0.0970, 0.9533)  5 Ag 2.83-2.86
Ag (0.0388, 0.7500, 0.2888)  3 In 2.86-2.96, 2 Ag 2.89
Ag (0.1082, 0.6608, 0.7690)  3 In 2.83-2.92, 2 Ag 2.89
Ag (0.2500, 0.2500, 0.0000)  4 In 2.85
Ag (0.3918, 0.1608, 0.5526)  3 In 2.83-2.92, 2 Ag 2.89
Ag (0.4612, 0.7500, 0.7112)  3 In 2.86-2.96, 2 Ag 2.89
Ag (0.5388, 0.2500, 0.2888)  3 In 2.86-2.96, 2 Ag 2.89
Ag (0.6082, 0.8392, 0.4474)  3 In 2.83-2.92, 2 Ag 2.89
Ag (0.7500, 0.7500, 0.0000)  4 In 2.85
Ag (0.8918, 0.3392, 0.2310)  3 In 2.83-2.92, 2 Ag 2.89
Ag (0.9612, 0.2500, 0.7112)  3 In 2.86-2.96, 2 Ag 2.89

Summary:
Space group: Ibam, No. 72
E, eV/atom: -2.89